Density functional theory data (PBE-GGA) for a relaxed structure of U4S6I.

Geometry as POSCAR:
```
U4S6I
1.0
8.477 0.000 0.000
-4.239 7.342 0.000
0.000 0.000 3.848
U S I
4 6 1
direct
0.000 0.000 0.000
0.035 0.517 0.500
0.483 0.517 0.500
0.483 0.965 0.500
0.208 0.415 0.000
0.208 0.792 0.000
0.275 0.138 0.500
0.585 0.792 0.000
0.862 0.138 0.500
0.862 0.725 0.500
0.667 0.333 0.000
```

Results
formation energy without anion corrections: -121.4 kJ/mol of atoms
DOS(E_F): 2.40 states/eV/atom

=====

Density functional theory data (PBE-GGA) for a relaxed structure of U2SI8.

Geometry as POSCAR:
```
U2SI8
1.0
9.578 -5.981 0.000
9.578 5.981 0.000
-1.931 0.000 5.783
U S I
2 1 8
direct
0.140 0.140 0.139
0.860 0.860 0.861
0.000 0.000 0.000
0.106 0.625 0.866
0.137 0.137 0.636
0.299 0.299 0.296
0.375 0.894 0.134
0.625 0.106 0.866
0.701 0.701 0.704
0.863 0.863 0.364
0.894 0.375 0.134
```

Results
formation energy without anion corrections: -71.1 kJ/mol of atoms
DOS(E_F): 0.57 states/eV/atom

=====

Density functional theory data (PBE-GGA) for a relaxed structure of US2I4.

Geometry as POSCAR:
```
US2I4
1.0
4.195 0.000 0.000
-1.016 7.864 0.000
-1.880 -1.638 9.935
U S I
1 2 4
direct
0.000 0.000 0.000
0.282 0.434 0.485
0.718 0.566 0.515
0.085 0.874 0.255
0.385 0.729 0.890
0.615 0.271 0.110
0.915 0.126 0.745
```

Results
formation energy without anion corrections: -41.0 kJ/mol of atoms
DOS(E_F): 0.47 states/eV/atom

=====

Density functional theory data (PBE-GGA) for a relaxed structure of USI.

Geometry as POSCAR:
```
USI
1.0
3.586 0.000 0.000
0.000 3.586 0.000
0.000 0.000 13.592
U S I
2 2 2
direct
0.000 0.000 0.000
0.500 0.500 0.500
0.000 0.000 0.588
0.500 0.500 0.088
0.000 0.000 0.342
0.500 0.500 0.842
```

Results
formation energy without anion corrections: -91.6 kJ/mol of atoms
DOS(E_F): 1.90 states/eV/atom